Compound: VAuO2
Source: Alexandria
Functional: GGA+U
Structure: optimized geometry

a b c (Å): 2.8098 5.0162 9.3284
angles (deg): 94.86 97.85 90.00
Last column: nearest neighbours and their distance in Å.
Space group P1 (No. 1)
Symmetry-distinct sites (fractional):
V 0.0000 0.0000 0.0000 (multiplicity 1)  3 O 1.84-2.02
V 0.4583 0.4326 0.9080 (multiplicity 1)  5 O 1.77-1.96
Au 0.1973 0.5272 0.4508 (multiplicity 1)  6 Au 2.81-2.88
Au 0.6977 0.0272 0.4516 (multiplicity 1)  6 Au 2.81-2.88, 1 O 2.99
O 0.0241 0.3987 0.0536 (multiplicity 1)  3 V 1.96-2.02
O 0.4446 0.7766 0.8770 (multiplicity 1)  1 V 1.77
O 0.5575 0.9729 0.1271 (multiplicity 1)  2 V 1.84
O 0.9163 0.2124 0.8155 (multiplicity 1)  3 V 1.94-2.09

Values from the calculation:
E in eV/atom: -6.258